Entry 1:
This record from Alexandria via LeMat-Bulk describes a relaxed structure of Ca2NiBr. The functional is PBE.

a b c (Å): 4.4247 6.2021 6.2021
angles (deg): 36.79 90.00 90.00
With the nearest neighbours (Å) after each atom.
Fractional coordinates of all 4 atoms:
Ca  0.0000  0.0000  0.0000  4 Ni 2.96, 1 Br 3.17
Ca  0.5000  0.2874  0.2874  1 Ni 2.68
Ni  0.5000  0.5147  0.5147  5 Ca 2.68-2.96
Br  0.0000  0.7303  0.7303  7 Ca 3.03-3.34, 2 Ni 3.37

Calculated values
**SG**: Amm2, No. 38
**Uncorrected formation energy**: -0.5347 eV per atom
**Excess energy over the best structure of this formula in the dataset**: 0.1732 eV per atom
**DOS(E_F)**: 2.62 states/eV/f.u.
**Spin magnetization**: 0.0 μB/f.u.

---

Entry 2:
This record from Alexandria via LeMat-Bulk describes a relaxed structure of Pm5Nd4Ho2. The functional is PBE.

a b c (Å): 12.3105 12.3105 8.8076
angles (deg): 94.39 94.39 16.69
With the nearest neighbours (Å) after each atom.
Fractional coordinates of all 11 atoms:
Pm  0.0000  0.0000  0.0000  2 Ho 3.54, 6 Pm 3.57-3.64, 4 Nd 3.60
Pm  0.3159  0.3159  0.5247  4 Nd 3.57-3.64, 5 Pm 3.57-3.90, 2 Ho 3.64
Pm  0.3696  0.3696  0.9537  4 Nd 3.56-3.62, 5 Pm 3.57-3.90, 2 Ho 3.64
Pm  0.6304  0.6304  0.0463  4 Nd 3.56-3.62, 5 Pm 3.57-3.90, 2 Ho 3.64
Pm  0.6841  0.6841  0.4753  4 Nd 3.57-3.64, 5 Pm 3.57-3.90, 2 Ho 3.64
Nd  0.2259  0.2259  0.8260  1 Ho 3.48, 6 Pm 3.57-3.64, 4 Nd 3.57-3.66
Nd  0.4598  0.4598  0.6537  3 Nd 3.46-3.57, 4 Pm 3.56-3.60, 4 Ho 3.58-3.68
Nd  0.5402  0.5402  0.3463  3 Nd 3.46-3.57, 4 Pm 3.56-3.60, 4 Ho 3.58-3.68
Nd  0.7741  0.7741  0.1740  1 Ho 3.48, 6 Pm 3.57-3.64, 4 Nd 3.57-3.66
Ho  0.0874  0.0874  0.6972  5 Nd 3.48-3.68, 5 Pm 3.54-3.64, 2 Ho 3.57
Ho  0.9126  0.9126  0.3028  5 Nd 3.48-3.68, 5 Pm 3.54-3.64, 2 Ho 3.57

Calculated values
**SG**: C2/m, No. 12
**Excess energy over the best structure of this formula in the dataset**: 0.0000 eV per atom
**DOS(E_F)**: 16.86 states/eV/f.u.
**Spin magnetization**: 0.0 μB/f.u.

---

Entry 3:
This record from Alexandria via LeMat-Bulk describes a relaxed structure of Sr2TmMg. The functional is PBE.

a b c (Å): 4.3251 4.3251 8.1235
angles (deg): 90.00 90.00 90.00
With the nearest neighbours (Å) after each atom.
Fractional coordinates of all 4 atoms:
Sr  0.0000  0.0000  0.2408  4 Mg 3.63, 4 Tm 3.71, 1 Sr 3.91
Sr  0.0000  0.0000  0.7592  4 Mg 3.63, 4 Tm 3.71, 1 Sr 3.91
Tm  0.5000  0.5000  0.5000  8 Sr 3.71, 2 Mg 4.06
Mg  0.5000  0.5000  0.0000  8 Sr 3.63, 2 Tm 4.06

Calculated values
**SG**: P4/mmm, No. 123
**Excess energy over the best structure of this formula in the dataset**: 0.0000 eV per atom
**DOS(E_F)**: 4.70 states/eV/f.u.
**Spin magnetization**: 0.0 μB/f.u.

---

Entry 4:
This record from Alexandria via LeMat-Bulk describes a relaxed structure of LiLa2H2. The functional is PBE.

a b c (Å): 7.1869 7.1869 7.1869
angles (deg): 147.22 147.22 47.04
With the nearest neighbours (Å) after each atom.
Fractional coordinates of all 5 atoms:
Li  0.0000  0.0000  0.0000  8 La 3.51, 8 H 3.87
La  0.3459  0.3459  0.0000  4 H 2.39
La  0.6541  0.6541  0.0000  4 H 2.39
H  0.2500  0.7500  0.5000  4 La 2.39
H  0.7500  0.2500  0.5000  4 La 2.39

Calculated values
**SG**: I4/mmm, No. 139
**Excess energy over the best structure of this formula in the dataset**: 0.0000 eV per atom
**DOS(E_F)**: 4.06 states/eV/f.u.
**Spin magnetization**: 0.7 μB/f.u.